1.
A plane-wave DFT calculation with PBE was carried out for crystalline Ho4BiIr at its relaxed geometry.

Cell and atoms, written as POSCAR:
```
Ho4BiIr
1.0
-1.9557 0.8952 3.5075
1.8639 -7.3401 2.9126
16.4556 7.1003 7.3629
Ho Bi Ir
16 4 4
Cartesian
10.6984 -1.0460 9.8518 Ho
5.6655 1.7014 3.9312 Ho
3.0556 -3.4969 3.8028 Ho
13.3083 4.1523 9.9802 Ho
7.5737 -2.4421 8.4659 Ho
8.7902 3.0975 5.3171 Ho
16.3646 2.2936 9.7455 Ho
-0.0008 -1.6382 4.0375 Ho
15.7518 -0.0198 12.4074 Ho
0.6121 0.6751 1.3755 Ho
7.5807 -0.3902 5.5329 Ho
8.7831 1.0456 8.2501 Ho
3.8288 -4.8501 6.9924 Ho
12.5351 5.5055 6.7906 Ho
12.2571 1.3134 7.7055 Ho
4.1068 -0.6580 6.0775 Ho
13.2396 1.0139 10.7429 Bi
3.1243 -0.3585 3.0401 Bi
6.0378 -3.1736 5.3830 Bi
10.3261 3.8290 8.4000 Bi
6.4218 2.0534 6.6763 Ir
9.9421 -1.3980 7.1067 Ir
15.6340 5.1301 8.6142 Ir
0.7299 -4.4748 5.1688 Ir
```

Results
The formation energy is -0.67 eV per atom. The final energy is -5.847 eV/atom. The calculation puts the offset from the most stable computed form at 0.00 kJ per mole of atoms. The value obtained for the calculated volume is 647 Å³/cell. As for the space group: Pnma, No. 62. The calculation puts the total magnetization at 0.29 μB per formula unit.

---

2.
A plane-wave DFT calculation with PBE was carried out for crystalline NpPd3Au9 at its relaxed geometry.

Cell and atoms, written as POSCAR:
```
NpPd3Au9
1.0
5.2292 0.0829 2.1226
2.6106 6.6870 1.0597
0.1479 0.0415 7.1381
Np Pd Au
1 3 9
Cartesian
0.0000 0.0000 0.0000 Np
3.9199 3.3850 1.5912 Pd
0.0740 0.0207 3.5690 Pd
2.6886 0.0622 4.6304 Pd
5.8975 5.3485 7.9393 Au
2.0903 1.4630 2.3811 Au
3.3064 1.5044 6.8875 Au
4.6814 5.3070 3.4329 Au
4.3269 2.3160 4.1888 Au
3.6609 4.4954 6.1316 Au
1.8176 4.4540 3.1702 Au
6.1702 2.3575 7.1502 Au
1.3053 3.3435 0.5298 Au
```

Results
The formation energy is -0.11 eV per atom. The final energy is -4.568 eV/atom. The value obtained for the calculated volume is 246 Å³/cell. As for the space group: C2/m, No. 12. The calculation puts the total magnetization at 4.12 μB per formula unit.

---

Look up the calculated volume of the first one. 647 Å³/cell